*one*
This record from the Open Quantum Materials Database describes a geometry-optimized ScBeGaFe structure. The functional is GGA-PBE.

Lattice parameters (Å, degrees): 4.2518 4.2518 4.2518 60.00 60.00 60.00
Closest atoms and distances in Å follow each position.
Positions (direct):
Be  0.5000  0.5000  0.5000  4 Ga 2.60, 4 Fe 2.60
Fe  0.7500  0.7500  0.7500  4 Be 2.60, 4 Sc 2.60
Ga  0.2500  0.2500  0.2500  4 Be 2.60, 4 Sc 2.60
Sc  0.0000  0.0000  0.0000  4 Ga 2.60, 4 Fe 2.60

## Properties
* SG: F-43m, No. 216
* volume: 13.6 Å³ per atom
* M_tot: 1.25 μB/cell

=====

*two*
This record from the Open Quantum Materials Database describes a geometry-optimized ScBeGaFe structure. The functional is GGA-PBE.

Lattice parameters (Å, degrees): 4.2232 4.2232 4.2232 60.00 60.00 60.00
Closest atoms and distances in Å follow each position.
Positions (direct):
Be  0.5000  0.5000  0.5000  4 Sc 2.59, 4 Ga 2.59
Fe  0.0000  0.0000  0.0000  4 Ga 2.59, 4 Sc 2.59
Ga  0.2500  0.2500  0.2500  4 Fe 2.59, 4 Be 2.59
Sc  0.7500  0.7500  0.7500  4 Be 2.59, 4 Fe 2.59

## Properties
* SG: F-43m, No. 216
* volume: 13.3 Å³ per atom
* M_tot: 1.01 μB/cell

=====

Which of them is least stable? Easy: *one*.